Entry 1:
# RbSiAu3 | Alexandria via LeMat-Bulk | PBE | optimized geometry
data_RbSiAu3
_chemical_formula_sum 'Rb2 Si2 Au6'
_cell_length_a 4.7763
_cell_length_b 8.8470
_cell_length_c 6.7940
_cell_angle_alpha 90.00
_cell_angle_beta 110.54
_cell_angle_gamma 90.00
_symmetry_space_group_name_H-M 'P 1 21/m 1'
_symmetry_Int_Tables_number 11
_symmetry_space_group_name_Hall '-P 2yb'
loop_
_atom_site_label
_atom_site_fract_x
_atom_site_fract_y
_atom_site_fract_z
Rb1 0.0130 0.2500 0.0266
Si1 0.2840 0.2500 0.5691
Au1 0.2688 0.7500 0.5370
Au2 0.3913 0.0268 0.7817
# Calculated total energy, eV for the cell shown: -33.27
# Spin magnetization, μB/cell: 0.0
# Formation energy without anion corrections, eV/f.u.: -0.41
# Calculated volume, Å³/atom: 26.88

Entry 2:
# CuMo2Pt | Alexandria via LeMat-Bulk | PBE | optimized geometry
data_CuMo2Pt
_chemical_formula_sum 'Cu3 Mo6 Pt3'
_cell_length_a 2.7483
_cell_length_b 2.7483
_cell_length_c 27.5364
_cell_angle_alpha 90.00
_cell_angle_beta 90.00
_cell_angle_gamma 120.00
_symmetry_space_group_name_H-M 'R -3 m'
_symmetry_Int_Tables_number 166
_symmetry_space_group_name_Hall '-R 3 2"'
loop_
_atom_site_label
_atom_site_fract_x
_atom_site_fract_y
_atom_site_fract_z
Cu1 0.0000 0.0000 0.0000
Mo1 0.0000 0.0000 0.2516
Pt1 0.0000 0.0000 0.5000
# Calculated total energy, eV for the cell shown: -93.83
# DFT formation energy, eV per formula unit: 0.52
# Spin magnetization, μB/cell: 0.0
# Calculated volume, Å³/atom: 15.01

Entry 3:
# Ho2U2Pt15 | Alexandria via LeMat-Bulk | PBE | optimized geometry
data_Ho2U2Pt15
_chemical_formula_sum 'Ho6 U6 Pt45'
_cell_length_a 9.2585
_cell_length_b 9.2585
_cell_length_c 13.9425
_cell_angle_alpha 90.00
_cell_angle_beta 90.00
_cell_angle_gamma 120.00
_symmetry_space_group_name_H-M 'R -3 m'
_symmetry_Int_Tables_number 166
_symmetry_space_group_name_Hall '-R 3 2"'
loop_
_atom_site_label
_atom_site_fract_x
_atom_site_fract_y
_atom_site_fract_z
Ho1 0.0000 0.0000 0.1392
U1 0.0000 0.0000 0.4140
Pt1 0.0000 0.3237 0.5000
Pt2 0.0000 0.5000 0.0000
Pt3 0.0031 0.5016 0.6605
# Calculated total energy, eV for the cell shown: -402.79
# DFT formation energy, eV per formula unit: -11.92
# Spin magnetization, μB/cell: 0.0
# Calculated volume, Å³/atom: 18.16

Entry 4:
# Na5Pt | Alexandria via LeMat-Bulk | PBE | optimized geometry
data_Na5Pt
_chemical_formula_sum 'Na5 Pt1'
_cell_length_a 5.8302
_cell_length_b 5.8302
_cell_length_c 5.2039
_cell_angle_alpha 90.00
_cell_angle_beta 90.00
_cell_angle_gamma 120.00
_symmetry_space_group_name_H-M 'P -6 2 m'
_symmetry_Int_Tables_number 189
_symmetry_space_group_name_Hall 'P -6 -2'
loop_
_atom_site_label
_atom_site_fract_x
_atom_site_fract_y
_atom_site_fract_z
Na1 0.0000 0.7054 0.0000
Na2 0.3333 0.6667 0.5000
Pt1 0.0000 0.0000 0.5000
# Calculated total energy, eV for the cell shown: -12.74
# DFT formation energy, eV per formula unit: -0.10
# Spin magnetization, μB/cell: 0.0
# Calculated volume, Å³/atom: 25.53

Entry 5:
# Mo2RuCl | Alexandria via LeMat-Bulk | PBE | optimized geometry
data_Mo2RuCl
_chemical_formula_sum 'Mo2 Ru1 Cl1'
_cell_length_a 3.6860
_cell_length_b 3.6860
_cell_length_c 4.5992
_cell_angle_alpha 90.00
_cell_angle_beta 90.00
_cell_angle_gamma 90.00
_symmetry_space_group_name_H-M 'P 4/m m m'
_symmetry_Int_Tables_number 123
_symmetry_space_group_name_Hall '-P 4 2'
loop_
_atom_site_label
_atom_site_fract_x
_atom_site_fract_y
_atom_site_fract_z
Mo1 0.0000 0.5000 0.0000
Ru1 0.0000 0.0000 0.5000
Cl1 0.5000 0.5000 0.5000
# Calculated total energy, eV for the cell shown: -28.66
# Spin magnetization, μB/cell: 0.0
# Formation energy without anion corrections, eV/f.u.: 4.12
# Calculated volume, Å³/atom: 15.62

Entry 6:
# TiCo | Alexandria via LeMat-Bulk | PBE | optimized geometry
data_TiCo
_chemical_formula_sum 'Ti2 Co2'
_cell_length_a 4.0491
_cell_length_b 4.0491
_cell_length_c 4.8052
_cell_angle_alpha 90.00
_cell_angle_beta 90.00
_cell_angle_gamma 120.00
_symmetry_space_group_name_H-M 'P 63/m m c'
_symmetry_Int_Tables_number 194
_symmetry_space_group_name_Hall '-P 6c 2c'
loop_
_atom_site_label
_atom_site_fract_x
_atom_site_fract_y
_atom_site_fract_z
Ti1 0.3333 0.6667 0.2500
Co1 0.3333 0.6667 0.7500
# Calculated total energy, eV for the cell shown: -28.36
# DFT formation energy, eV per formula unit: 0.82
# Spin magnetization, μB/cell: 0.0
# Calculated volume, Å³/atom: 17.06

Entry 7:
# AgSnH | Alexandria via LeMat-Bulk | PBE | optimized geometry
data_AgSnH
_chemical_formula_sum 'Ag2 Sn2 H2'
_cell_length_a 3.0914
_cell_length_b 6.1591
_cell_length_c 6.7370
_cell_angle_alpha 65.31
_cell_angle_beta 89.80
_cell_angle_gamma 75.55
_symmetry_space_group_name_H-M 'P 1'
_symmetry_Int_Tables_number 1
_symmetry_space_group_name_Hall 'P 1'
loop_
_atom_site_label
_atom_site_fract_x
_atom_site_fract_y
_atom_site_fract_z
Ag1 0.0000 0.0000 0.0000
Ag2 0.2599 0.4838 0.8040
Sn1 0.2832 0.4213 0.3139
Sn2 0.5776 0.8472 0.4212
H1 0.1779 0.6463 0.9877
H2 0.4239 0.1541 0.8259
# Calculated total energy, eV for the cell shown: -19.12
# Spin magnetization, μB/cell: 0.0
# Calculated volume, Å³/atom: 18.69

Entry 8:
# CaSm2Lu | Alexandria via LeMat-Bulk | PBE | optimized geometry
data_CaSm2Lu
_chemical_formula_sum 'Ca1 Sm2 Lu1'
_cell_length_a 5.1920
_cell_length_b 5.1920
_cell_length_c 4.9922
_cell_angle_alpha 90.00
_cell_angle_beta 90.00
_cell_angle_gamma 90.00
_symmetry_space_group_name_H-M 'P 4/m m m'
_symmetry_Int_Tables_number 123
_symmetry_space_group_name_Hall '-P 4 2'
loop_
_atom_site_label
_atom_site_fract_x
_atom_site_fract_y
_atom_site_fract_z
Ca1 0.0000 0.0000 0.0000
Sm1 0.0000 0.5000 0.5000
Lu1 0.5000 0.5000 0.0000
# Calculated total energy, eV for the cell shown: -15.49
# DFT formation energy, eV per formula unit: 0.48
# Spin magnetization, μB/cell: 0.0
# Calculated volume, Å³/atom: 33.64

Entry 9:
# AlVCoNi | Alexandria via LeMat-Bulk | PBE | optimized geometry
data_AlVCoNi
_chemical_formula_sum 'Al4 V4 Co4 Ni4'
_cell_length_a 5.7741
_cell_length_b 5.7741
_cell_length_c 5.7741
_cell_angle_alpha 90.00
_cell_angle_beta 90.00
_cell_angle_gamma 90.00
_symmetry_space_group_name_H-M 'F -4 3 m'
_symmetry_Int_Tables_number 216
_symmetry_space_group_name_Hall 'F -4 2 3'
loop_
_atom_site_label
_atom_site_fract_x
_atom_site_fract_y
_atom_site_fract_z
Al1 0.0000 0.0000 0.0000
V1 0.0000 0.0000 0.5000
Co1 0.2500 0.2500 0.7500
Ni1 0.2500 0.2500 0.2500
# Calculated total energy, eV for the cell shown: -109.00
# DFT formation energy, eV per formula unit: -1.50
# Spin magnetization, μB/cell: 4.5
# Calculated volume, Å³/atom: 12.03

Entry 10:
# Ac2PuSi3Pd4 | Alexandria via LeMat-Bulk | PBE | optimized geometry
data_Ac2PuSi3Pd4
_chemical_formula_sum 'Ac2 Pu1 Si3 Pd4'
_cell_length_a 4.3958
_cell_length_b 4.3958
_cell_length_c 10.9537
_cell_angle_alpha 90.00
_cell_angle_beta 90.00
_cell_angle_gamma 90.00
_symmetry_space_group_name_H-M 'P -4 m 2'
_symmetry_Int_Tables_number 115
_symmetry_space_group_name_Hall 'P -4 -2'
loop_
_atom_site_label
_atom_site_fract_x
_atom_site_fract_y
_atom_site_fract_z
Ac1 0.0000 0.5000 0.2334
Pu1 0.0000 0.0000 0.5000
Si1 0.0000 0.5000 0.8877
Si2 0.5000 0.5000 0.5000
Pd1 0.0000 0.0000 0.0000
Pd2 0.0000 0.5000 0.6623
Pd3 0.5000 0.5000 0.0000
# Calculated total energy, eV for the cell shown: -67.16
# Spin magnetization, μB/cell: 5.6
# Formation energy without anion corrections, eV/f.u.: -7.57
# Calculated volume, Å³/atom: 21.17

Entry 11:
# NaHo2OsO8 | Alexandria via LeMat-Bulk | PBE | optimized geometry
data_NaHo2OsO8
_chemical_formula_sum 'Na1 Ho2 Os1 O8'
_cell_length_a 4.6844
_cell_length_b 5.0390
_cell_length_c 7.0901
_cell_angle_alpha 90.02
_cell_angle_beta 90.10
_cell_angle_gamma 91.65
_symmetry_space_group_name_H-M 'P -1'
_symmetry_Int_Tables_number 2
_symmetry_space_group_name_Hall '-P 1'
loop_
_atom_site_label
_atom_site_fract_x
_atom_site_fract_y
_atom_site_fract_z
Na1 0.0000 0.0000 0.0000
Ho1 0.4986 0.5000 0.7487
Os1 0.0000 0.0000 0.5000
O1 0.2216 0.8515 0.3136
O2 0.2220 0.8540 0.6880
O3 0.2393 0.4331 0.0003
O4 0.2483 0.3078 0.4992
# Calculated total energy, eV for the cell shown: -84.73
# Spin magnetization, μB/cell: 0.2
# Formation energy without anion corrections, eV/f.u.: -23.36
# Calculated volume, Å³/atom: 13.94

Entry 12:
# SbH2Pb2O6 | Alexandria via LeMat-Bulk | PBE | optimized geometry
data_SbH2Pb2O6
_chemical_formula_sum 'Sb3 H6 Pb6 O18'
_cell_length_a 5.2486
_cell_length_b 5.2486
_cell_length_c 15.8380
_cell_angle_alpha 90.00
_cell_angle_beta 90.00
_cell_angle_gamma 120.00
_symmetry_space_group_name_H-M 'R -3 m'
_symmetry_Int_Tables_number 166
_symmetry_space_group_name_Hall '-R 3 2"'
loop_
_atom_site_label
_atom_site_fract_x
_atom_site_fract_y
_atom_site_fract_z
Sb1 0.0000 0.0000 0.0000
H1 0.0000 0.0000 0.4088
Pb1 0.0000 0.0000 0.2165
O1 0.0123 0.5061 0.2529
# Calculated total energy, eV for the cell shown: -170.39
# Spin magnetization, μB/cell: 0.0
# Calculated volume, Å³/atom: 11.45

Entry 13:
# Cd9Ag4Pd11 | Alexandria via LeMat-Bulk | PBE | optimized geometry
data_Cd9Ag4Pd11
_chemical_formula_sum 'Cd18 Ag8 Pd22'
_cell_length_a 15.2857
_cell_length_b 18.2048
_cell_length_c 3.0244
_cell_angle_alpha 90.00
_cell_angle_beta 90.00
_cell_angle_gamma 90.00
_symmetry_space_group_name_H-M 'C m m m'
_symmetry_Int_Tables_number 65
_symmetry_space_group_name_Hall '-C 2 2'
loop_
_atom_site_label
_atom_site_fract_x
_atom_site_fract_y
_atom_site_fract_z
Cd1 0.0000 0.0000 0.0000
Cd2 0.1125 0.4083 0.0000
Cd3 0.1207 0.2318 0.0000
Ag1 0.1549 0.0797 0.0000
Pd1 0.0000 0.1384 0.5000
Pd2 0.0000 0.3160 0.5000
Pd3 0.0000 0.5000 0.5000
Pd4 0.2203 0.5000 0.5000
Pd5 0.2328 0.3268 0.5000
# Calculated total energy, eV for the cell shown: -167.59
# DFT formation energy, eV per formula unit: -7.03
# Spin magnetization, μB/cell: 0.0
# Calculated volume, Å³/atom: 17.53

Entry 14:
# Rb2AsPtAu | Alexandria via LeMat-Bulk | PBE | optimized geometry
data_Rb2AsPtAu
_chemical_formula_sum 'Rb2 As1 Pt1 Au1'
_cell_length_a 6.6381
_cell_length_b 6.6381
_cell_length_c 4.5613
_cell_angle_alpha 90.00
_cell_angle_beta 90.00
_cell_angle_gamma 90.00
_symmetry_space_group_name_H-M 'P 4/m m m'
_symmetry_Int_Tables_number 123
_symmetry_space_group_name_Hall '-P 4 2'
loop_
_atom_site_label
_atom_site_fract_x
_atom_site_fract_y
_atom_site_fract_z
Rb1 0.0000 0.5000 0.0000
As1 0.0000 0.0000 0.5000
Pt1 0.0000 0.0000 0.0000
Au1 0.5000 0.5000 0.5000
# Calculated total energy, eV for the cell shown: -16.84
# DFT formation energy, eV per formula unit: -0.94
# Spin magnetization, μB/cell: 0.0
# Calculated volume, Å³/atom: 40.20

Entry 15:
# Na3PdPb | Alexandria via LeMat-Bulk | PBE | optimized geometry
data_Na3PdPb
_chemical_formula_sum 'Na3 Pd1 Pb1'
_cell_length_a 5.3606
_cell_length_b 5.3606
_cell_length_c 5.3606
_cell_angle_alpha 90.00
_cell_angle_beta 90.00
_cell_angle_gamma 90.00
_symmetry_space_group_name_H-M 'P m -3 m'
_symmetry_Int_Tables_number 221
_symmetry_space_group_name_Hall '-P 4 2 3'
loop_
_atom_site_label
_atom_site_fract_x
_atom_site_fract_y
_atom_site_fract_z
Na1 0.0000 0.0000 0.5000
Pd1 0.0000 0.0000 0.0000
Pb1 0.5000 0.5000 0.5000
# Calculated total energy, eV for the cell shown: -11.94
# DFT formation energy, eV per formula unit: 0.92
# Spin magnetization, μB/cell: 0.0
# Calculated volume, Å³/atom: 30.81